(1)
# Na3Tl2Pb6

A geometry-optimized Na3Tl2Pb6 structure (PBE-GGA, Alexandria via LeMat-Bulk).

Cell: 8.8060 8.8060 5.4980 Å, 90.00 90.00 120.00°
With the nearest neighbours (Å) after each atom.
Space group P-62m (No. 189)
Symmetry-distinct sites (fractional):
Na 0.0000 0.5607 0.0000 (multiplicity 3)  5 Pb 3.04-3.35
Tl 0.3333 0.6667 0.5000 (multiplicity 2)  3 Pb 3.47, 6 Na 3.78
Pb 0.0000 0.2153 0.0000 (multiplicity 3)  3 Na 3.04-3.35, 6 Pb 3.28-3.39
Pb 0.0000 0.7677 0.5000 (multiplicity 3)  2 Na 3.30, 6 Pb 3.39-3.54, 2 Tl 3.47

crystal system: hexagonal
D(E_F): 6.71 states/eV per cell
V: 369 Å³/cell
raw total energy: -30.71 eV for the cell shown
E_form: 0.021 eV per atom

***

(2)
# HfAsPd

A geometry-optimized HfAsPd structure (PBE-GGA, Alexandria via LeMat-Bulk).

Cell: 3.8927 3.8927 13.7734 Å, 90.00 90.00 90.00°
With the nearest neighbours (Å) after each atom.
Space group I4/mmm (No. 139)
Symmetry-distinct sites (fractional):
Hf 0.0000 0.0000 0.1683 (multiplicity 4)  5 As 2.68-2.78
As 0.0000 0.0000 0.3625 (multiplicity 4)  5 Hf 2.68-2.78, 4 Pd 2.72
Pd 0.0000 0.5000 0.0000 (multiplicity 4)  4 As 2.72, 4 Pd 2.75, 4 Hf 3.03

crystal system: tetragonal
D(E_F): 4.59 states/eV per cell
V: 209 Å³/cell
raw total energy: -88.51 eV for the cell shown
E_form: -0.777 eV per atom

***

(3)
# Mg2IF

A geometry-optimized Mg2IF structure (PBE-GGA, Alexandria via LeMat-Bulk).

Cell: 5.9004 5.9004 11.9838 Å, 90.00 90.00 90.00°
With the nearest neighbours (Å) after each atom.
Space group I-42d (No. 122)
Symmetry-distinct sites (fractional):
Mg 0.1118 0.2500 0.1250 (multiplicity 8)  2 F 2.20
I 0.0000 0.0000 0.5000 (multiplicity 4)  4 Mg 3.11
F 0.0000 0.0000 0.0000 (multiplicity 4)  4 Mg 2.20

crystal system: tetragonal
D(E_F): 2.15 states/eV per cell
V: 417 Å³/cell
raw total energy: -44.90 eV for the cell shown
raw formation energy: -1.154 eV/atom